# PBE-GGA PrLuPdRh, relaxed
data_PrLuPdRh
_chemical_formula_sum 'Pr4 Lu4 Pd4 Rh4'
_cell_length_a 7.017
_cell_length_b 7.017
_cell_length_c 7.017
_cell_angle_alpha 90.00
_cell_angle_beta 90.00
_cell_angle_gamma 90.00
_symmetry_space_group_name_H-M 'F -4 3 m'
_symmetry_Int_Tables_number 216
_symmetry_space_group_name_Hall 'F -4 2 3'
loop_
_atom_site_label
_atom_site_type_symbol
_atom_site_fract_x
_atom_site_fract_y
_atom_site_fract_z
Pr1 Pr 0.000 0.000 0.000
Lu1 Lu 0.000 0.000 0.500
Pd1 Pd 0.250 0.250 0.250
Rh1 Rh 0.250 0.250 0.750
# - DOS at the Fermi energy (states/eV per cell) = 8.7
# - E_form (eV per atom) = -0.78
# - calculated density (Mg/m³) = 10.095


# PBE-GGA PrLuSiPd, relaxed
data_PrLuSiPd
_chemical_formula_sum 'Pr4 Lu4 Si4 Pd4'
_cell_length_a 7.131
_cell_length_b 7.131
_cell_length_c 7.131
_cell_angle_alpha 90.00
_cell_angle_beta 90.00
_cell_angle_gamma 90.00
_symmetry_space_group_name_H-M 'F -4 3 m'
_symmetry_Int_Tables_number 216
_symmetry_space_group_name_Hall 'F -4 2 3'
loop_
_atom_site_label
_atom_site_type_symbol
_atom_site_fract_x
_atom_site_fract_y
_atom_site_fract_z
Pr1 Pr 0.000 0.000 0.000
Lu1 Lu 0.000 0.000 0.500
Si1 Si 0.250 0.250 0.750
Pd1 Pd 0.250 0.250 0.250
# - DOS at the Fermi energy (states/eV per cell) = 7.5
# - calculated density (Mg/m³) = 8.248
# - E_form (uncorrected) (eV per atom) = -0.650


# PBE-GGA PrLuSnPd, relaxed
data_PrLuSnPd
_chemical_formula_sum 'Pr4 Lu4 Sn4 Pd4'
_cell_length_a 7.384
_cell_length_b 7.384
_cell_length_c 7.384
_cell_angle_alpha 90.00
_cell_angle_beta 90.00
_cell_angle_gamma 90.00
_symmetry_space_group_name_H-M 'F -4 3 m'
_symmetry_Int_Tables_number 216
_symmetry_space_group_name_Hall 'F -4 2 3'
loop_
_atom_site_label
_atom_site_type_symbol
_atom_site_fract_x
_atom_site_fract_y
_atom_site_fract_z
Pr1 Pr 0.000 0.000 0.000
Lu1 Lu 0.000 0.000 0.500
Sn1 Sn 0.250 0.250 0.750
Pd1 Pd 0.250 0.250 0.250
# - DOS at the Fermi energy (states/eV per cell) = 10.3
# - E_form (eV per atom) = -0.68
# - calculated density (Mg/m³) = 8.926


# PBE-GGA LuPd2Pt, relaxed
data_LuPd2Pt
_chemical_formula_sum 'Lu4 Pd8 Pt4'
_cell_length_a 6.528
_cell_length_b 6.528
_cell_length_c 6.528
_cell_angle_alpha 90.00
_cell_angle_beta 90.00
_cell_angle_gamma 90.00
_symmetry_space_group_name_H-M 'F m -3 m'
_symmetry_Int_Tables_number 225
_symmetry_space_group_name_Hall '-F 4 2 3'
loop_
_atom_site_label
_atom_site_type_symbol
_atom_site_fract_x
_atom_site_fract_y
_atom_site_fract_z
Lu1 Lu 0.000 0.000 0.000
Pd1 Pd 0.250 0.250 0.250
Pt1 Pt 0.000 0.000 0.500
# - DOS at the Fermi energy (states/eV per cell) = 11.0
# - E_form (eV per atom) = -0.80
# - energy above the lowest structure with this stoichiometry (meV/atom) = 183
# - calculated density (Mg/m³) = 13.920


# PBE-GGA LuPdPt4, relaxed
data_LuPdPt4
_chemical_formula_sum 'Lu4 Pd4 Pt16'
_cell_length_a 7.495
_cell_length_b 7.495
_cell_length_c 7.495
_cell_angle_alpha 90.00
_cell_angle_beta 90.00
_cell_angle_gamma 90.00
_symmetry_space_group_name_H-M 'F -4 3 m'
_symmetry_Int_Tables_number 216
_symmetry_space_group_name_Hall 'F -4 2 3'
loop_
_atom_site_label
_atom_site_type_symbol
_atom_site_fract_x
_atom_site_fract_y
_atom_site_fract_z
Lu1 Lu 0.000 0.000 0.000
Pd1 Pd 0.250 0.250 0.750
Pt1 Pt 0.125 0.125 0.375
# - DOS at the Fermi energy (states/eV per cell) = 18.4
# - E_form (eV per atom) = -0.68
# - calculated density (Mg/m³) = 16.753


# PBE-GGA LuPdPt2, relaxed
data_LuPdPt2
_chemical_formula_sum 'Lu4 Pd4 Pt8'
_cell_length_a 6.555
_cell_length_b 6.555
_cell_length_c 6.555
_cell_angle_alpha 90.00
_cell_angle_beta 90.00
_cell_angle_gamma 90.00
_symmetry_space_group_name_H-M 'F m -3 m'
_symmetry_Int_Tables_number 225
_symmetry_space_group_name_Hall '-F 4 2 3'
loop_
_atom_site_label
_atom_site_type_symbol
_atom_site_fract_x
_atom_site_fract_y
_atom_site_fract_z
Lu1 Lu 0.000 0.000 0.000
Pd1 Pd 0.000 0.000 0.500
Pt1 Pt 0.250 0.250 0.250
# - DOS at the Fermi energy (states/eV per cell) = 14.6
# - E_form (eV per atom) = -0.79
# - calculated density (Mg/m³) = 15.838